1.
# ZrCd2Ag

A relaxed structure of ZrCd2Ag (PBE, OQMD via LeMat-Bulk).

The space group is F-43m (No. 216) and the conventional cell measures 6.849, 6.849 and 6.849 Å, with angles of 90.00, 90.00 and 90.00 degrees. Symmetry generates all atoms from Zr at (0.000, 0.000, 0.000), Cd at (0.000, 0.000, 0.500), Cd at (0.250, 0.250, 0.750) and Ag at (0.250, 0.250, 0.250).

The value obtained for the total energy is -53.70 eV/cell. The calculation puts the calculated density at 8.8 g cm⁻³. The calculation puts the energy relative to the elements at -66 meV per atom. The calculated volume is 321 Å³ per cell.

2.
# ZrCd2Ag2

A relaxed structure of ZrCd2Ag2 (PBE, OQMD via LeMat-Bulk).

The space group is I4/mmm (No. 139) and the conventional cell measures 4.055, 4.055 and 12.766 Å, with angles of 90.00, 90.00 and 90.00 degrees. Symmetry generates all atoms from Zr at (0.000, 0.000, 0.000), Cd at (0.000, 0.000, 0.397) and Ag at (0.000, 0.500, 0.250).

The value obtained for the total energy is -30.32 eV/cell. The calculation puts the calculated density at 8.4 g cm⁻³. The calculation puts the energy relative to the elements at 165 meV per atom. The calculated volume is 210 Å³ per cell.

3.
# ZrCd2Ag

A relaxed structure of ZrCd2Ag (PBE, OQMD via LeMat-Bulk).

The space group is F-43m (No. 216) and the conventional cell measures 6.849, 6.849 and 6.849 Å, with angles of 90.00, 90.00 and 90.00 degrees. Symmetry generates all atoms from Zr at (0.000, 0.000, 0.000), Cd at (0.000, 0.000, 0.500), Cd at (0.250, 0.250, 0.250) and Ag at (0.250, 0.250, 0.750).

The value obtained for the total energy is -53.70 eV/cell. The calculation puts the calculated density at 8.8 g cm⁻³. The calculation puts the energy relative to the elements at -66 meV per atom. The calculated volume is 321 Å³ per cell.

4.
# Zr4CdAg

A relaxed structure of Zr4CdAg (PBE, OQMD via LeMat-Bulk).

The space group is P4/mmm (No. 123) and the conventional cell measures 3.216, 3.216 and 12.727 Å, with angles of 90.00, 90.00 and 90.00 degrees. Symmetry generates all atoms from Zr at (0.000, 0.000, 0.158), Zr at (0.500, 0.500, 0.328), Cd at (0.000, 0.000, 0.500) and Ag at (0.500, 0.500, 0.000).

The value obtained for the total energy is -38.55 eV/cell. The calculation puts the calculated density at 7.4 g cm⁻³. The calculation puts the energy relative to the elements at -107 meV per atom. The calculated volume is 132 Å³ per cell.

5.
# Zr2Cd2Ag

A relaxed structure of Zr2Cd2Ag (PBE, OQMD via LeMat-Bulk).

The space group is I4/mmm (No. 139) and the conventional cell measures 4.117, 4.117 and 13.599 Å, with angles of 90.00, 90.00 and 90.00 degrees. Symmetry generates all atoms from Zr at (0.000, 0.500, 0.250), Cd at (0.000, 0.000, 0.094) and Ag at (0.000, 0.000, 0.500).

The value obtained for the total energy is -39.90 eV/cell. The calculation puts the calculated density at 7.4 g cm⁻³. The calculation puts the energy relative to the elements at 352 meV per atom. The calculated volume is 230 Å³ per cell.

6.
# AgCl

A relaxed structure of AgCl (PBE, OQMD via LeMat-Bulk).

The space group is R3m (No. 160, hexagonal axes) and the conventional cell measures 4.2879, 4.2879 and 41.6076 Å, with angles of 90.00, 90.00 and 120.00 degrees. Symmetry generates all atoms from Ag at (0.0000, 0.0000, 0.0000), Ag at (0.0000, 0.0000, 0.1667), Ag at (0.0000, 0.0000, 0.4166), Ag at (0.0000, 0.0000, 0.5834), Cl at (0.0000, 0.0000, 0.1036), Cl at (0.0000, 0.0000, 0.3536), Cl at (0.0000, 0.0000, 0.5202) and Cl at (0.0000, 0.0000, 0.9369).

The value obtained for the total energy is -67.00 eV/cell. The calculation puts the calculated density at 4.3 g cm⁻³. The calculated volume is 663 Å³ per cell.